First-principles (SCAN) data for a crystal of Al2AgP relaxed with PBEsol, as listed in Alexandria via LeMat-Bulk.

POSCAR file:
```
Al2AgP
1.0
2.713 0.000 0.000
0.000 3.335 0.000
0.000 0.000 7.318
Al Ag P
2 1 1
Cartesian
0.000 0.000 1.817 Al
0.000 0.000 5.501 Al
1.356 1.668 0.000 Ag
0.000 1.668 3.659 P
```

Results
ΔH_f (0 K) = -0.02 eV/atom
V = 16.6 Å³/atom
Total moment = 0.00 μB per cell